# 1
GeSBr3 | Alexandria via LeMat-Bulk | GGA-PBE | relaxed; DOS(E_F) = 2.79 states/eV/cell; formation energy (no corrections) = 0.424 eV/atom
1.0
5.186 0.000 0.000
0.000 5.186 0.000
0.000 0.000 5.186
Ge S Br
1 1 3
direct
0.000 0.000 0.000
0.500 0.500 0.500
0.000 0.500 0.500
0.500 0.000 0.500
0.500 0.500 0.000

***

# 2
Cs2PrAgBr6 | Alexandria via LeMat-Bulk | GGA-PBE | relaxed; DOS(E_F) = 0.00 states/eV/cell; formation energy (no corrections) = -1.571 eV/atom
1.0
8.066 0.000 0.000
-4.033 6.985 0.000
0.000 0.000 6.928
Cs Pr Ag Br
2 1 1 6
direct
0.333 0.667 0.265
0.667 0.333 0.735
0.000 0.000 0.000
0.000 0.000 0.500
0.169 0.337 0.751
0.169 0.831 0.751
0.337 0.169 0.249
0.663 0.831 0.751
0.831 0.169 0.249
0.831 0.663 0.249

***

# 3
U2PN | Alexandria via LeMat-Bulk | GGA-PBE | relaxed; DOS(E_F) = 9.13 states/eV/cell; formation energy (no corrections) = -0.508 eV/atom
1.0
3.174 0.000 0.000
0.000 3.174 0.000
0.000 0.000 6.492
U P N
2 1 1
direct
0.000 0.000 0.224
0.000 0.000 0.776
0.500 0.500 0.500
0.500 0.500 0.000

***

# 4
Be2CuAu | Alexandria via LeMat-Bulk | GGA-PBE | relaxed; DOS(E_F) = 2.96 states/eV/cell; energy of formation from the pure elements = 125 kJ/mol of formula units
1.0
-1.814 1.814 8.002
1.814 -1.814 8.002
1.814 1.814 -8.002
Be Cu Au
4 2 2
direct
0.105 0.625 0.980
0.375 0.355 0.480
0.645 0.125 0.020
0.875 0.895 0.520
0.000 0.000 0.000
0.750 0.250 0.500
0.250 0.750 0.500
0.500 0.500 0.000